Dy4TlAgAu2 GGA-PBE relaxed; E_tot = -4.3512 eV per atom; calculated density = 11.5 g cm⁻³; space-group type = No. 166; calculated volume = 195.4 Å³/cell; energy of formation from the pure elements = -0.58 eV/atom
1.0
-4.845 1.687 -0.609
-3.597 -3.135 -1.980
-4.734 -3.192 6.913
Au Dy Ag Tl
2 4 1 1
Direct
0.251 0.251 0.247
0.749 0.749 0.753
0.379 0.379 0.864
0.621 0.621 0.136
0.872 0.872 0.384
0.128 0.128 0.616
0.500 0.500 0.500
0.000 0.000 0.000


CsTmMg2Br8 GGA-PBE relaxed; E_tot = -3.4269 eV per atom; calculated density = 3.8 g cm⁻³; space-group type = No. 2; calculated volume = 437.3 Å³/cell; formation energy (no corrections) = -1.6022 eV per atom
1.0
6.863 0.997 0.932
1.055 6.937 1.054
1.206 1.421 9.724
Br Mg Cs Tm
8 2 1 1
Direct
0.269 0.236 0.956
0.382 0.301 0.533
0.820 0.291 0.776
0.732 0.210 0.200
0.268 0.790 0.800
0.180 0.709 0.224
0.618 0.699 0.467
0.731 0.764 0.044
0.545 0.551 0.286
0.455 0.449 0.714
0.000 0.000 0.500
0.000 0.000 0.000


DyScOsPt GGA-PBE relaxed; E_tot = -7.7593 eV per atom; calculated density = 13.1 g cm⁻³; space-group type = No. 216; calculated volume = 75.2 Å³/cell; energy of formation from the pure elements = -0.71 eV/atom
1.0
-0.662 3.158 -3.469
-2.058 -1.332 -4.054
-4.373 1.496 -1.039
Os Dy Pt Sc
1 1 1 1
Direct
0.250 0.250 0.250
0.500 0.500 0.500
0.750 0.750 0.750
0.000 0.000 0.000


ScTcSb3 GGA-PBE relaxed; E_tot = -5.3730 eV per atom; calculated density = 6.1 g cm⁻³; space-group type = No. 221; calculated volume = 138.7 Å³/cell; excess energy over the best structure of this formula in the dataset = 0.00 eV/f.u.; formation energy (no corrections) = 0.4400 eV per atom
1.0
-0.887 5.074 -0.520
-1.788 -0.804 -4.791
-4.777 -0.641 1.890
Sc Sb Tc
1 3 1
Direct
0.500 0.500 0.500
0.000 0.500 0.000
0.000 0.000 0.500
0.500 0.000 0.000
0.000 0.000 0.000


Ba2HfPb6 GGA-PBE relaxed; E_tot = -4.2337 eV per atom; calculated density = 9.4 g cm⁻³; space-group type = No. 166; calculated volume = 299.9 Å³/cell; energy of formation from the pure elements = -0.23 eV/atom
1.0
6.504 -0.001 3.746
2.162 6.135 3.746
-0.006 -0.004 7.510
Pb Ba Hf
6 2 1
Direct
0.220 0.778 0.779
0.780 0.222 0.221
0.779 0.779 0.220
0.778 0.220 0.779
0.222 0.780 0.221
0.221 0.221 0.780
0.750 0.750 0.749
0.250 0.250 0.251
0.500 0.500 0.500


Lu3Th GGA-PBE relaxed; E_tot = -5.2085 eV per atom; calculated density = 10.3 g cm⁻³; space-group type = No. 25; calculated volume = 122.0 Å³/cell; energy of formation from the pure elements = 0.04 eV/atom; excess energy over the best structure of this formula in the dataset = 0.02 eV/f.u.
1.0
-0.654 -3.493 0.191
0.049 -0.317 -5.628
5.978 -1.114 0.115
Lu Th
3 1
Direct
0.500 0.500 0.841
0.500 0.000 0.501
0.000 0.500 0.335
0.000 0.000 0.990


Rb2ZnCoBr6 GGA-PBE relaxed; E_tot = -2.9923 eV per atom; calculated density = 4.2 g cm⁻³; space-group type = No. 139; calculated volume = 304.8 Å³/cell; formation energy (no corrections) = -0.9571 eV per atom
1.0
7.588 0.000 0.000
0.000 7.588 0.000
3.794 3.794 5.294
Br Rb Co Zn
6 2 1 1
Direct
0.230 0.230 0.540
0.770 0.770 0.460
0.264 0.264 0.000
0.736 0.736 0.000
0.264 0.736 0.000
0.736 0.264 0.000
0.750 0.250 0.500
0.250 0.750 0.500
0.500 0.500 0.000
0.000 0.000 0.000


MnTl2Se GGA-PBE relaxed; E_tot = -4.3588 eV per atom; calculated density = 8.8 g cm⁻³; space-group type = No. 6; calculated volume = 103.0 Å³/cell; excess energy over the best structure of this formula in the dataset = 0.17 eV/f.u.; formation energy (no corrections) = -0.0122 eV per atom
1.0
-3.423 -0.116 1.832
-1.883 -1.720 -3.627
0.307 -6.361 0.171
Se Tl Mn
1 2 1
Direct
0.500 0.565 0.743
0.000 0.958 0.958
0.500 0.275 0.325
0.000 0.701 0.473


Al2Sb GGA-PBE relaxed; E_tot = -3.4707 eV per atom; calculated density = 3.7 g cm⁻³; space-group type = No. 225; calculated volume = 78.8 Å³/cell; formation energy (no corrections) = 0.3985 eV per atom
1.0
4.812 0.000 0.000
2.406 4.167 0.000
2.406 1.389 3.929
Al Sb
2 1
Direct
0.750 0.750 0.750
0.250 0.250 0.250
0.000 0.000 0.000


Ac6RuPb2O GGA-PBE relaxed; E_tot = -5.3497 eV per atom; calculated density = 8.7 g cm⁻³; space-group type = No. 59; calculated volume = 720.4 Å³/cell; formation energy (no corrections) = -0.7196 eV per atom
1.0
8.181 0.000 0.000
0.000 8.524 0.000
0.000 0.000 10.330
Ac Ru Pb O
12 2 4 2
Direct
0.000 0.729 0.781
0.752 0.471 0.000
0.000 0.729 0.219
0.265 0.995 0.000
0.500 0.271 0.281
0.765 0.005 0.500
0.252 0.529 0.500
0.248 0.471 0.000
0.500 0.271 0.719
0.748 0.529 0.500
0.735 0.995 0.000
0.235 0.005 0.500
0.500 0.267 0.000
0.000 0.733 0.500
0.500 0.742 0.241
0.500 0.742 0.759
0.000 0.258 0.259
0.000 0.258 0.741
0.500 0.122 0.500
0.000 0.878 0.000


CaRePt2S GGA-PBE relaxed; E_tot = -5.4349 eV per atom; calculated density = 10.6 g cm⁻³; space-group type = No. 123; calculated volume = 101.9 Å³/cell; formation energy (no corrections) = 0.6968 eV per atom
1.0
-0.952 -1.269 -4.274
2.629 -4.090 0.629
-3.728 -2.170 1.475
Pt Re S Ca
2 1 1 1
Direct
0.500 0.000 0.000
0.000 0.000 0.500
0.500 0.500 0.500
0.000 0.000 0.000
0.000 0.500 0.000


NaAc8Pt5 GGA-PBE relaxed; E_tot = -5.4537 eV per atom; calculated density = 8.6 g cm⁻³; space-group type = No. 8; calculated volume = 540.6 Å³/cell; energy of formation from the pure elements = -0.85 eV/atom
1.0
0.189 1.851 -4.072
9.819 -4.359 -1.525
-7.237 -8.939 -1.937
Ac Pt Na
8 5 1
Direct
0.237 0.158 0.474
0.763 0.842 0.526
0.826 0.509 0.652
0.908 0.162 0.816
0.574 0.152 0.148
0.426 0.848 0.852
0.174 0.491 0.348
0.092 0.838 0.184
0.663 0.988 0.327
0.000 0.000 0.000
0.297 0.670 0.594
0.703 0.330 0.406
0.337 0.012 0.673
0.500 0.500 0.000